Entry 1:
10
Lattice="7.434 -2.026 0.000 7.434 2.026 0.000 -0.568 0.000 9.027" Properties=species:S:1:pos:R:3 comment="PBE-GGA PmErSe3, relaxed" formation_energy_uncorrected_ev_per_fu=-9.23 total_magnetization_mub_per_fu=0.0 relative_energy_mev_per_atom=34 dos_at_fermi_per_ev_atom=0.00 e_tot_ev_per_atom=-5.799 pbc="T T T"
Pm 1.638 0.000 0.768
Pm 12.662 0.000 8.259
Er 4.635 0.000 3.304
Er 9.665 0.000 5.723
Se 1.785 0.000 3.876
Se 3.151 0.000 7.578
Se 6.804 0.000 1.473
Se 7.496 0.000 7.555
Se 11.149 0.000 1.449
Se 12.515 0.000 5.151

---

Entry 2:
10
Lattice="-2.031 2.873 10.211 2.031 -2.873 10.211 2.031 2.873 -10.211" Properties=species:S:1:pos:R:3 comment="PBE-GGA PmEr4Se5, relaxed" formation_energy_uncorrected_ev_per_fu=-17.14 total_magnetization_mub_per_fu=0.0 relative_energy_mev_per_atom=8 dos_at_fermi_per_ev_atom=0.49 e_tot_ev_per_atom=-5.756 pbc="T T T"
Pm 0.000 0.000 0.000
Er 0.000 0.000 4.139
Er 0.000 0.000 8.194
Er 0.000 0.000 12.228
Er 0.000 0.000 16.283
Se 2.031 0.000 2.154
Se 2.031 0.000 6.158
Se 0.000 2.873 0.000
Se 0.000 2.873 4.052
Se 0.000 2.873 8.057

---

Entry 3:
20
Lattice="6.968 0.000 0.000 0.000 7.688 0.000 -6.781 0.000 10.584" Properties=species:S:1:pos:R:3 comment="PBE-GGA Pm3ErSe6, relaxed" formation_energy_uncorrected_ev_per_fu=-18.44 total_magnetization_mub_per_fu=0.0 relative_energy_mev_per_atom=21 dos_at_fermi_per_ev_atom=0.00 e_tot_ev_per_atom=-5.816 pbc="T T T"
Pm 0.000 0.000 0.000
Pm -3.390 3.844 5.292
Pm -3.028 0.799 7.971
Pm 0.363 3.045 2.679
Pm -0.175 4.643 7.905
Pm 3.215 6.890 2.613
Er 0.094 0.000 5.292
Er 3.484 3.844 0.000
Se -1.057 0.454 2.707
Se -4.447 3.390 7.999
Se 1.242 5.224 0.861
Se -2.148 6.308 6.154
Se 2.339 1.426 0.839
Se -1.052 2.418 6.131
Se 1.239 5.270 4.454
Se -2.151 6.262 9.746
Se 2.335 1.380 4.431
Se -1.055 2.464 9.723
Se 4.635 4.298 2.585
Se 1.244 7.235 7.877

---

Entry 4:
4
Lattice="1.934 1.116 9.650 -1.934 1.116 9.650 0.000 -2.233 9.650" Properties=species:S:1:pos:R:3 comment="PBE-GGA Pm2ErSe, relaxed" formation_energy_uncorrected_ev_per_fu=-3.07 total_magnetization_mub_per_fu=0.7 dos_at_fermi_per_ev_atom=1.13 e_tot_ev_per_atom=-5.155 pbc="T T T"
Pm 0.000 0.000 6.748
Pm 0.000 0.000 22.202
Er 0.000 0.000 0.000
Se 0.000 0.000 14.475